# Mg6CoCO8

Mg6CoCO8 after structural relaxation (PBE+U, Alexandria).

a b c (Å): 4.213 4.213 8.552
angles (deg): 90.00 90.00 90.00
Fractional positions:
Mg  0.000  0.000  0.000
Mg  0.000  0.000  0.500
Mg  0.000  0.500  0.245
Mg  0.000  0.500  0.755
Mg  0.500  0.000  0.245
Mg  0.500  0.000  0.755
Co  0.500  0.500  0.500
C  0.500  0.500  0.000
O  0.000  0.000  0.249
O  0.000  0.000  0.751
O  0.000  0.500  0.000
O  0.000  0.500  0.500
O  0.500  0.000  0.000
O  0.500  0.000  0.500
O  0.500  0.500  0.245
O  0.500  0.500  0.755

Summary:
E above lowest polymorph in meV per atom: 0
Calculated volume in A^3/atom: 9.5
Raw total energy in eV/atom: -5.84
SG: No. 123